No. 1
La2GaFePb | the Alexandria database | PBE | relaxed; crystal system = tetragonal; symmetry = P4/mmm (123); total DFT energy (no corrections) = -26.78 eV/cell; total magnetization = 0.062 μB/atom
1.0
5.2046 0.0000 0.0000
0.0000 5.2046 0.0000
0.0000 0.0000 4.7736
La Ga Fe Pb
2 1 1 1
Cartesian
0.0000 2.6023 0.0000 La
2.6023 0.0000 0.0000 La
0.0000 0.0000 2.3868 Ga
0.0000 0.0000 0.0000 Fe
2.6023 2.6023 2.3868 Pb


No. 2
La2GaFeSb | the Alexandria database | PBE | relaxed; crystal system = tetragonal; symmetry = P4/mmm (123); formation energy (no corrections) = -0.5828 eV/atom; total magnetization = 0.048 μB/atom
1.0
5.2074 0.0000 0.0000
0.0000 5.2074 0.0000
0.0000 0.0000 4.6882
La Ga Fe Sb
2 1 1 1
Cartesian
0.0000 2.6037 0.0000 La
2.6037 0.0000 0.0000 La
0.0000 0.0000 2.3441 Ga
0.0000 0.0000 0.0000 Fe
2.6037 2.6037 2.3441 Sb


No. 3
La2GaFeSn | the Alexandria database | PBE | relaxed; crystal system = tetragonal; symmetry = P4/mmm (123); total DFT energy (no corrections) = -27.29 eV/cell; total magnetization = 0.004 μB/atom
1.0
5.1677 0.0000 0.0000
0.0000 5.1677 0.0000
0.0000 0.0000 4.7442
La Ga Fe Sn
2 1 1 1
Cartesian
0.0000 2.5839 0.0000 La
2.5839 0.0000 0.0000 La
0.0000 0.0000 2.3721 Ga
0.0000 0.0000 0.0000 Fe
2.5839 2.5839 2.3721 Sn


No. 4
LaZnGa2Fe | the Alexandria database | PBE | relaxed; crystal system = tetragonal; symmetry = P4/mmm (123); total DFT energy (no corrections) = -22.54 eV/cell; total magnetization = 0.076 μB/atom
1.0
4.5847 0.0000 0.0000
0.0000 4.5847 0.0000
0.0000 0.0000 4.6825
La Zn Ga Fe
1 1 2 1
Cartesian
0.0000 0.0000 0.0000 La
2.2924 2.2924 0.0000 Zn
0.0000 2.2924 2.3412 Ga
2.2924 0.0000 2.3412 Ga
2.2924 2.2924 2.3412 Fe


No. 5
LaZn2GaFe | the Alexandria database | PBE | relaxed; crystal system = tetragonal; symmetry = P4/mmm (123); total DFT energy (no corrections) = -20.07 eV/cell; total magnetization = 0.000 μB/atom
1.0
4.6596 0.0000 0.0000
0.0000 4.6596 0.0000
0.0000 0.0000 4.5626
La Zn Ga Fe
1 2 1 1
Cartesian
0.0000 0.0000 0.0000 La
0.0000 2.3298 2.2813 Zn
2.3298 0.0000 2.2813 Zn
2.3298 2.3298 0.0000 Ga
2.3298 2.3298 2.2813 Fe


No. 6
Li2GaFe | the Alexandria database | PBE | relaxed; crystal system = tetragonal; symmetry = I-42d (122); total DFT energy (no corrections) = -28.43 eV/cell; total magnetization = 0.545 μB/atom
1.0
-3.4219 3.4219 2.4659
3.4219 -3.4219 2.4659
3.4219 3.4219 -2.4659
Li Ga Fe
4 2 2
Cartesian
5.1328 1.6964 -0.6165 Li
1.6964 1.7109 0.6165 Li
-1.7109 1.7255 1.8495 Li
1.7255 1.7109 3.0824 Li
3.4219 0.0000 1.2330 Ga
0.0000 0.0000 2.4659 Ga
0.0000 0.0000 0.0000 Fe
0.0000 3.4219 1.2330 Fe


No. 7
LiGaFe3 | the Alexandria database | PBE | relaxed; crystal system = cubic; symmetry = Pm-3m (221); total magnetization = 1.487 μB/atom; energy relative to the lowest polymorph listed for this composition = 0.000 eV per atom
1.0
4.0933 0.0000 0.0000
0.0000 4.0933 0.0000
0.0000 0.0000 4.0933
Li Ga Fe
1 1 3
Cartesian
0.0000 0.0000 0.0000 Li
2.0466 2.0466 2.0466 Ga
0.0000 0.0000 2.0466 Fe
0.0000 2.0466 0.0000 Fe
2.0466 0.0000 0.0000 Fe


No. 8
LiGa2Fe | the Alexandria database | PBE | relaxed; crystal system = tetragonal; symmetry = I-42d (122); total DFT energy (no corrections) = -31.03 eV/cell; total magnetization = 0.580 μB/atom
1.0
-1.9254 1.9254 8.6386
1.9254 -1.9254 8.6386
1.9254 1.9254 -8.6386
Li Ga Fe
2 4 2
Cartesian
0.0000 0.0000 0.0000 Li
0.0000 1.9254 4.3193 Li
0.9627 -0.9028 6.4789 Ga
1.0226 0.9627 2.1596 Ga
0.9627 2.8283 -2.1596 Ga
0.9028 0.9627 10.7982 Ga
1.9254 0.0000 4.3193 Fe
0.0000 0.0000 8.6386 Fe